[1]
DFT (GGA-PBE) results for crystalline ZnC2F at its relaxed geometry.

abc: 3.8123 3.8123 3.8123
angles: 60.00 60.00 60.00
With the nearest neighbours (Å) after each atom.
Positions (direct):
Zn1 0.0000 0.0000 0.0000  8 C 2.33
C1 0.2500 0.2500 0.2500  4 F 2.33, 4 Zn 2.33
C2 0.7500 0.7500 0.7500  4 F 2.33, 4 Zn 2.33
F1 0.5000 0.5000 0.5000  8 C 2.33

- magnetic moment (μB per cell) = 0.0
- raw formation energy (meV per atom) = 2207
- E above lowest polymorph (eV/f.u.) = 0.71

[2]
DFT (GGA-PBE) results for crystalline TlHgPdRh at its relaxed geometry.

abc: 4.6834 4.6834 4.6834
angles: 60.00 60.00 60.00
With the nearest neighbours (Å) after each atom.
Positions (direct):
Tl1 0.0000 0.0000 0.0000  4 Pd 2.87, 4 Rh 2.87
Hg1 0.5000 0.5000 0.5000  4 Rh 2.87, 4 Pd 2.87
Pd1 0.7500 0.7500 0.7500  4 Hg 2.87, 4 Tl 2.87
Rh1 0.2500 0.2500 0.2500  4 Hg 2.87, 4 Tl 2.87

- magnetic moment (μB per cell) = 0.0
- calculated formation energy (eV per atom) = 0.002